(1)
Entry from Alexandria via LeMat-Bulk: Li3V8ZnO16 after structural relaxation (GGA+U).

abc: 6.0774 6.0774 8.2831
angles: 90.00 90.00 90.00
With the nearest neighbours (Å) after each atom.
Space group P-4m2 (No. 115)
One atom of each set of equivalent atoms:
Li 0.0000 0.0000 0.0000 x1  4 O 2.04
Li 0.0000 0.5000 0.2450 x2  4 O 1.98-2.06
V 0.0000 0.2471 0.6256 x4  6 O 1.89-2.05
V 0.2515 0.5000 0.8770 x4  6 O 1.99-2.08
Zn 0.5000 0.5000 0.5000 x1  4 O 1.99
O 0.0000 0.2216 0.3874 x4  3 V 1.98-2.02, 1 Li 2.06
O 0.0000 0.2691 0.8535 x4  3 V 1.89-2.08, 1 Li 2.04
O 0.2219 0.5000 0.6269 x4  1 Zn 1.99, 3 V 2.05-2.08
O 0.2737 0.5000 0.1161 x4  1 Li 1.98, 3 V 1.99-2.04


(2)
Entry from Alexandria via LeMat-Bulk: Li5WO5 after structural relaxation (GGA+U).

abc: 9.8852 4.0847 5.8878
angles: 90.00 110.49 90.00
With the nearest neighbours (Å) after each atom.
Space group C2/m (No. 12)
One atom of each set of equivalent atoms:
Li 0.0000 0.0000 0.0000 x2  2 O 1.93
Li 0.1864 0.5000 0.3653 x4  5 O 2.01-2.25
Li 0.2133 0.5000 0.8380 x4  4 O 1.95-2.11
W 0.0000 0.0000 0.5000 x2  6 O 1.96-2.05
O 0.0000 0.5000 0.5000 x2  2 W 2.04, 2 Li 2.25
O 0.1446 0.0000 0.3219 x4  5 Li 1.93-2.08, 1 W 2.05
O 0.1576 0.0000 0.8138 x4  1 W 1.96, 4 Li 2.00-2.15


(3)
Entry from Alexandria via LeMat-Bulk: Li4WO4 after structural relaxation (GGA+U).

abc: 10.1458 3.1110 7.3479
angles: 90.00 123.65 90.00
With the nearest neighbours (Å) after each atom.
Space group C2/m (No. 12)
One atom of each set of equivalent atoms:
Li 0.1440 0.0000 0.3909 x4  4 O 1.93-2.02
Li 0.2043 0.5000 0.8135 x4  5 O 2.10-2.24
W 0.0000 0.5000 0.0000 x2  6 O 2.05-2.14
O 0.0784 0.0000 0.8820 x4  4 Li 2.02-2.24, 2 W 2.14
O 0.2144 0.5000 0.2951 x4  5 Li 1.93-2.11, 1 W 2.05


(4)
Entry from Alexandria via LeMat-Bulk: LiW2O7 after structural relaxation (GGA+U).

abc: 3.6790 3.6790 29.0567
angles: 90.00 90.00 120.00
With the nearest neighbours (Å) after each atom.
Space group R-3m (No. 166, hexagonal axes)
One atom of each set of equivalent atoms:
Li 0.0000 0.0000 0.0000 x3  6 O 2.37
W 0.0000 0.0000 0.4322 x6  2 O 1.82-1.97
O 0.0000 0.0000 0.1002 x6  3 W 2.12, 3 O 2.13
O 0.0000 0.0000 0.2304 x6  3 O 2.13, 3 W 2.13
O 0.0000 0.0000 0.3697 x6  1 W 1.82
O 0.0000 0.0000 0.5000 x3  2 W 1.97


Volume across the listed records, respectively: 305.9, 222.7, 193.1, 340.6 Å³/cell.
Energy across the listed records, respectively: -202.66, -128.33, -104.36, -200.52 eV per cell.